Entry 1:
Here is a relaxed structure of CSe7 from Alexandria via LeMat-Bulk. Energies are from PBEsol.

## Properties
Formation energy without anion corrections ... 1.237 eV per atom
Crystal system ... cubic
E ... -26.70 eV/cell

Cell lengths 5.8746, 5.8746, 5.8746 Å; angles 60.00, 60.00, 60.00 degrees
Fractional coordinates of all 8 atoms:
Se 0.0000 0.5000 0.0000
Se 0.5000 0.5000 0.5000
Se 0.5000 0.0000 0.5000
Se 0.5000 0.0000 0.0000
Se 0.0000 0.0000 0.5000
Se 0.5000 0.5000 0.0000
Se 0.0000 0.5000 0.5000
C 0.0000 0.0000 0.0000

***

Entry 2:
Here is a relaxed structure of Sc2Ga2Os from Alexandria via LeMat-Bulk. Energies are from PBEsol.

## Properties
Crystal system ... tetragonal
E ... -69.30 eV/cell
ΔE_f ... -509 meV per atom

Cell lengths 3.6927, 6.7367, 6.7367 Å; angles 90.00, 90.00, 90.00 degrees
Fractional coordinates of all 10 atoms:
Sc 0.5000 0.8225 0.3225
Sc 0.5000 0.1775 0.6775
Sc 0.5000 0.3225 0.1775
Sc 0.5000 0.6775 0.8225
Ga 0.0000 0.1298 0.3702
Ga 0.0000 0.3702 0.8702
Ga 0.0000 0.6298 0.1298
Ga 0.0000 0.8702 0.6298
Os 0.0000 0.5000 0.5000
Os 0.0000 0.0000 0.0000

***

Entry 3:
Here is a relaxed structure of Ge2Sb2Au from Alexandria via LeMat-Bulk. Energies are from PBEsol.

## Properties
Formation energy without anion corrections ... 0.219 eV per atom
Crystal system ... tetragonal
E ... -21.82 eV/cell

Cell lengths 3.6622, 3.6622, 8.5781 Å; angles 102.33, 102.33, 90.00 degrees
Fractional coordinates of all 5 atoms:
Ge 0.7500 0.2500 0.5000
Ge 0.2500 0.7500 0.5000
Sb 0.4057 0.4057 0.8114
Sb 0.5943 0.5943 0.1886
Au 0.0000 0.0000 0.0000

***

Entry 4:
Here is a relaxed structure of SrCa2Be from Alexandria via LeMat-Bulk. Energies are from PBEsol.

## Properties
Crystal system ... tetragonal
E ... -16.99 eV/cell
ΔE_f ... 403 meV per atom

Cell lengths 6.6608, 7.2992, 7.2992 Å; angles 77.98, 62.85, 62.85 degrees
Fractional coordinates of all 8 atoms:
Ca 0.2144 0.4106 0.9106
Ca 0.5356 0.5894 0.0894
Ca 0.3750 0.0894 0.4106
Ca 0.8750 0.9106 0.5894
Be 0.2500 0.5000 0.5000
Be 0.5000 0.0000 0.0000
Sr 0.7500 0.5000 0.5000
Sr 0.0000 0.0000 0.0000

***

Entry 5:
Here is a relaxed structure of Cs2KCrCl6 from Alexandria via LeMat-Bulk. Energies are from PBEsol.

## Properties
Formation energy without anion corrections ... -1.665 eV per atom
Crystal system ... cubic
E ... -41.96 eV/cell

Cell lengths 7.4525, 7.4525, 7.4525 Å; angles 60.00, 60.00, 60.00 degrees
Fractional coordinates of all 10 atoms:
Cs 0.2500 0.2500 0.2500
Cs 0.7500 0.7500 0.7500
Cl 0.7792 0.2208 0.2208
Cl 0.2208 0.7792 0.7792
Cl 0.2208 0.7792 0.2208
Cl 0.7792 0.2208 0.7792
Cl 0.2208 0.2208 0.7792
Cl 0.7792 0.7792 0.2208
K 0.5000 0.5000 0.5000
Cr 0.0000 0.0000 0.0000

***

Entry 6:
Here is a relaxed structure of Ta2MnPb from Alexandria via LeMat-Bulk. Energies are from PBEsol.

## Properties
Crystal system ... tetragonal
E ... -37.34 eV/cell
ΔE_f ... 382 meV per atom

Cell lengths 3.9491, 3.9491, 5.2801 Å; angles 111.96, 111.96, 90.00 degrees
Fractional coordinates of all 4 atoms:
Ta 0.7500 0.2500 0.5000
Ta 0.2500 0.7500 0.5000
Mn 0.5000 0.5000 0.0000
Pb 0.0000 0.0000 0.0000

***

Entry 7:
Here is a relaxed structure of TiBeOs3 from Alexandria via LeMat-Bulk. Energies are from PBEsol.

## Properties
Crystal system ... cubic
E ... -38.13 eV/cell
ΔE_f ... 2168 meV per atom

Cell lengths 4.4681, 4.4681, 4.4681 Å; angles 90.00, 90.00, 90.00 degrees
Fractional coordinates of all 5 atoms:
Be 0.5000 0.5000 0.5000
Ti 0.0000 0.0000 0.0000
Os 0.5000 0.0000 0.0000
Os 0.0000 0.5000 0.0000
Os 0.0000 0.0000 0.5000

***

Entry 8:
Here is a relaxed structure of ScAg4Br from Alexandria via LeMat-Bulk. Energies are from PBEsol.

## Properties
Formation energy without anion corrections ... 0.005 eV per atom
Crystal system ... cubic
E ... -21.69 eV/cell

Cell lengths 5.4756, 5.4756, 5.4756 Å; angles 60.00, 60.00, 60.00 degrees
Fractional coordinates of all 6 atoms:
Ag 0.3749 0.3749 0.8752
Ag 0.8752 0.3749 0.3749
Ag 0.3749 0.3749 0.3749
Ag 0.3749 0.8752 0.3749
Sc 0.0000 0.0000 0.0000
Br 0.7500 0.7500 0.7500

***

Entry 9:
Here is a relaxed structure of ZrScAl2 from Alexandria via LeMat-Bulk. Energies are from PBEsol.

## Properties
Crystal system ... tetragonal
E ... -25.61 eV/cell
ΔE_f ... -433 meV per atom

Cell lengths 4.2724, 4.2724, 5.0922 Å; angles 114.80, 114.80, 90.00 degrees
Fractional coordinates of all 4 atoms:
Al 0.7500 0.2500 0.5000
Al 0.2500 0.7500 0.5000
Zr 0.0000 0.0000 0.0000
Sc 0.5000 0.5000 0.0000

***

Entry 10:
Here is a relaxed structure of Ba2AgAs from Alexandria via LeMat-Bulk. Energies are from PBEsol.

## Properties
Crystal system ... tetragonal
E ... -14.76 eV/cell
ΔE_f ... -512 meV per atom

Cell lengths 4.7375, 4.7375, 6.6271 Å; angles 90.00, 90.00, 90.00 degrees
Fractional coordinates of all 4 atoms:
Ba 0.0000 0.0000 0.8747
Ba 0.5000 0.5000 0.3754
Ag 0.0000 0.0000 0.3745
As 0.5000 0.5000 0.8754

***

Entry 11:
Here is a relaxed structure of Mn4Os from Alexandria via LeMat-Bulk. Energies are from PBEsol.

## Properties
Crystal system ... tetragonal
E ... -50.84 eV/cell
ΔE_f ... 85 meV per atom

Cell lengths 3.5463, 4.3443, 4.3443 Å; angles 80.41, 65.91, 65.91 degrees
Fractional coordinates of all 5 atoms:
Mn 0.1930 0.4034 0.2106
Mn 0.8070 0.5966 0.7894
Mn 0.5964 0.2106 0.5966
Mn 0.4036 0.7894 0.4034
Os 0.0000 0.0000 0.0000

***

Entry 12:
Here is a relaxed structure of LiAl2In from Alexandria via LeMat-Bulk. Energies are from PBEsol.

## Properties
Crystal system ... tetragonal
E ... -13.42 eV/cell
ΔE_f ... -73 meV per atom

Cell lengths 4.0863, 4.0863, 4.2949 Å; angles 90.00, 90.00, 90.00 degrees
Fractional coordinates of all 4 atoms:
In 0.5000 0.5000 0.5000
Li 0.0000 0.0000 0.5000
Al 0.0000 0.5000 0.0000
Al 0.5000 0.0000 0.0000

***

Entry 13:
Here is a relaxed structure of Al3CrO from Alexandria via LeMat-Bulk. Energies are from PBEsol.

## Properties
Formation energy without anion corrections ... -0.402 eV per atom
Crystal system ... cubic
E ... -29.78 eV/cell

Cell lengths 3.9843, 3.9843, 3.9843 Å; angles 90.00, 90.00, 90.00 degrees
Fractional coordinates of all 5 atoms:
O 0.0000 0.0000 0.0000
Al 0.0000 0.5000 0.0000
Al 0.5000 0.0000 0.0000
Al 0.0000 0.0000 0.5000
Cr 0.5000 0.5000 0.5000

***

Entry 14:
Here is a relaxed structure of CrCoNi2 from Alexandria via LeMat-Bulk. Energies are from PBEsol.

## Properties
Crystal system ... cubic
E ... -29.73 eV/cell
ΔE_f ... 141 meV per atom

Cell lengths 3.8971, 3.8971, 3.8971 Å; angles 60.00, 60.00, 60.00 degrees
Fractional coordinates of all 4 atoms:
Cr 0.7500 0.7500 0.7500
Ni 0.0000 0.0000 0.0000
Ni 0.2500 0.2500 0.2500
Co 0.5000 0.5000 0.5000

***

Entry 15:
Here is a relaxed structure of Ca4CoPb from Alexandria via LeMat-Bulk. Energies are from PBEsol.

## Properties
Crystal system ... cubic
E ... -16.28 eV/cell
ΔE_f ... 665 meV per atom

Cell lengths 6.2747, 6.2747, 6.2747 Å; angles 60.00, 60.00, 60.00 degrees
Fractional coordinates of all 6 atoms:
Pb 0.0000 0.0000 0.0000
Ca 0.3753 0.3753 0.3753
Ca 0.8740 0.3753 0.3753
Ca 0.3753 0.8740 0.3753
Ca 0.3753 0.3753 0.8740
Co 0.7500 0.7500 0.7500

***

Entry 16:
Here is a relaxed structure of LaIrOs2 from Alexandria via LeMat-Bulk. Energies are from PBEsol.

## Properties
Crystal system ... orthorhombic
E ... -38.05 eV/cell
ΔE_f ... 388 meV per atom

Cell lengths 2.8166, 4.7704, 5.8663 Å; angles 113.99, 103.89, 90.00 degrees
Fractional coordinates of all 4 atoms:
Ir 0.5000 0.0000 0.0000
Os 0.2212 0.2212 0.4424
Os 0.7788 0.7788 0.5576
La 0.0000 0.5000 0.0000

***

Entry 17:
Here is a relaxed structure of ZrHgSbI2 from Alexandria via LeMat-Bulk. Energies are from PBEsol.

## Properties
Formation energy without anion corrections ... 0.813 eV per atom
Crystal system ... tetragonal
E ... -13.68 eV/cell

Cell lengths 5.5231, 5.5474, 5.5474 Å; angles 90.00, 90.00, 90.00 degrees
Fractional coordinates of all 5 atoms:
Hg 0.0000 0.0000 0.0000
I 0.0000 0.5000 0.0000
I 0.0000 0.0000 0.5000
Zr 0.5000 0.5000 0.5000
Sb 0.5000 0.0000 0.0000

***

Entry 18:
Here is a relaxed structure of Ba2Y from Alexandria via LeMat-Bulk. Energies are from PBEsol.

## Properties
Crystal system ... tetragonal
E ... -10.48 eV/cell
ΔE_f ... 214 meV per atom

Cell lengths 4.0679, 4.0679, 8.6747 Å; angles 103.56, 103.56, 90.00 degrees
Fractional coordinates of all 3 atoms:
Ba 0.6540 0.6540 0.3079
Ba 0.3460 0.3460 0.6921
Y 0.0000 0.0000 0.0000

***

Entry 19:
Here is a relaxed structure of ReMoW2 from Alexandria via LeMat-Bulk. Energies are from PBEsol.

## Properties
Crystal system ... tetragonal
E ... -52.52 eV/cell
ΔE_f ... 49 meV per atom

Cell lengths 3.1299, 3.1299, 6.2769 Å; angles 90.00, 90.00, 90.00 degrees
Fractional coordinates of all 4 atoms:
W 0.0000 0.0000 0.9980
W 0.5000 0.5000 0.2529
Mo 0.0000 0.0000 0.4946
Re 0.5000 0.5000 0.7545

***

Entry 20:
Here is a relaxed structure of CaHfTeN2 from Alexandria via LeMat-Bulk. Energies are from PBEsol.

## Properties
Formation energy without anion corrections ... 1.179 eV per atom
Crystal system ... tetragonal
E ... -27.32 eV/cell

Cell lengths 4.2618, 4.2618, 5.5673 Å; angles 90.00, 90.00, 90.00 degrees
Fractional coordinates of all 5 atoms:
Te 0.0000 0.0000 0.5000
N 0.5000 0.0000 0.0000
N 0.0000 0.5000 0.0000
Hf 0.5000 0.5000 0.5000
Ca 0.0000 0.0000 0.0000

***

Entry 21:
Here is a relaxed structure of ZrFe2F from Alexandria via LeMat-Bulk. Energies are from PBEsol.

## Properties
Formation energy without anion corrections ... 0.289 eV per atom
Crystal system ... cubic
E ... -27.79 eV/cell

Cell lengths 4.2509, 4.2509, 4.2509 Å; angles 60.00, 60.00, 60.00 degrees
Fractional coordinates of all 4 atoms:
Zr 0.5000 0.5000 0.5000
Fe 0.7500 0.7500 0.7500
Fe 0.2500 0.2500 0.2500
F 0.0000 0.0000 0.0000

***

Entry 22:
Here is a relaxed structure of KLi2Be from Alexandria via LeMat-Bulk. Energies are from PBEsol.

## Properties
Crystal system ... monoclinic
E ... -6.45 eV/cell
ΔE_f ... 654 meV per atom

Cell lengths 3.1957, 5.8479, 5.8479 Å; angles 113.10, 102.90, 102.90 degrees
Fractional coordinates of all 4 atoms:
Be 0.5000 0.5000 0.5000
Li 0.0000 0.0000 0.5000
Li 0.0000 0.5000 0.0000
K 0.5000 0.0000 0.0000

***

Entry 23:
Here is a relaxed structure of CsSn2Pb2 from Alexandria via LeMat-Bulk. Energies are from PBEsol.

## Properties
Crystal system ... tetragonal
E ... -18.12 eV/cell
ΔE_f ... -133 meV per atom

Cell lengths 5.1220, 5.1220, 7.6836 Å; angles 109.47, 109.47, 90.00 degrees
Fractional coordinates of all 5 atoms:
Sn 0.7500 0.2500 0.5000
Sn 0.2500 0.7500 0.5000
Pb 0.6221 0.6221 0.2443
Pb 0.3779 0.3779 0.7557
Cs 0.0000 0.0000 0.0000

***

Entry 24:
Here is a relaxed structure of ScSb2 from Alexandria via LeMat-Bulk. Energies are from PBEsol.

## Properties
Formation energy without anion corrections ... -0.618 eV per atom
Crystal system ... monoclinic
E ... -35.14 eV/cell

Cell lengths 3.8913, 5.5238, 7.7368 Å; angles 109.28, 90.00, 110.62 degrees
Fractional coordinates of all 6 atoms:
Sc 0.3284 0.6567 0.3386
Sc 0.6716 0.3433 0.6614
Sb 0.6561 0.3123 0.0478
Sb 0.0504 0.1009 0.3441
Sb 0.3439 0.6877 0.9522
Sb 0.9496 0.8991 0.6559

***

Entry 25:
Here is a relaxed structure of YSb2RhI from Alexandria via LeMat-Bulk. Energies are from PBEsol.

## Properties
Formation energy without anion corrections ... 0.955 eV per atom
Crystal system ... tetragonal
E ... -21.07 eV/cell

Cell lengths 5.6347, 5.6874, 5.6874 Å; angles 90.00, 90.00, 90.00 degrees
Fractional coordinates of all 5 atoms:
Y 0.0000 0.0000 0.0000
Sb 0.0000 0.5000 0.0000
Sb 0.0000 0.0000 0.5000
Rh 0.5000 0.5000 0.5000
I 0.5000 0.0000 0.0000

***

Entry 26:
Here is a relaxed structure of BRuSe2Cl from Alexandria via LeMat-Bulk. Energies are from PBEsol.

## Properties
Formation energy without anion corrections ... 1.692 eV per atom
Crystal system ... tetragonal
E ... -18.44 eV/cell

Cell lengths 3.6088, 4.7521, 4.7521 Å; angles 90.00, 90.00, 90.00 degrees
Fractional coordinates of all 5 atoms:
Cl 0.0000 0.0000 0.0000
B 0.5000 0.0000 0.0000
Se 0.0000 0.5000 0.0000
Se 0.0000 0.0000 0.5000
Ru 0.5000 0.5000 0.5000

***

Entry 27:
Here is a relaxed structure of ZrIn from Alexandria via LeMat-Bulk. Energies are from PBEsol.

## Properties
Crystal system ... tetragonal
E ... -12.84 eV/cell
ΔE_f ... -386 meV per atom

Cell lengths 3.1071, 3.1071, 4.3801 Å; angles 90.00, 90.00, 90.00 degrees
Fractional coordinates of all 2 atoms:
In 0.0000 0.0000 0.0000
Zr 0.5000 0.5000 0.5000

***

Entry 28:
Here is a relaxed structure of TcIrPt from Alexandria via LeMat-Bulk. Energies are from PBEsol.

## Properties
Crystal system ... trigonal
E ... -28.43 eV/cell
ΔE_f ... -126 meV per atom

Cell lengths 2.7168, 2.7168, 6.7059 Å; angles 90.00, 90.00, 120.00 degrees
Fractional coordinates of all 3 atoms:
Tc 0.6667 0.3333 0.3259
Pt 0.3333 0.6667 0.6612
Ir 0.0000 0.0000 0.0129